Arrangement w

Material: ScTaTi2H
Method: DFT, PBE
State: relaxed

Cell: 4.2084 4.2084 4.2920 Å, 90.00 90.00 90.00°
Space group P4/mmm (No. 123)
Asymmetric unit:
Sc  0.0000  0.0000  0.0000
Ta  0.5000  0.5000  0.0000
Ti  0.0000  0.5000  0.5000
H  0.0000  0.0000  0.5000

Summary:
DOS(E_F) ... 7.18 states/eV/cell
Total magnetic moment ... 0.0 μB per cell
V ... 15.2 Å³/atom

Arrangement x

Material: ScTaTi2H
Method: DFT, PBE
State: relaxed

Cell: 4.3411 4.3411 4.0743 Å, 90.00 90.00 90.00°
Space group P4/mmm (No. 123)
Asymmetric unit:
Sc  0.0000  0.0000  0.0000
Ta  0.5000  0.5000  0.0000
Ti  0.0000  0.5000  0.5000
H  0.5000  0.5000  0.5000

Summary:
DOS(E_F) ... 7.43 states/eV/cell
Total magnetic moment ... 0.0 μB per cell
V ... 15.4 Å³/atom

What should be chosen as the least stable of them? Choose arrangement x.

Arrangement w

Material: ZrSc2TaH
Method: DFT, PBE
State: relaxed

Cell: 4.4081 4.4081 4.5109 Å, 90.00 90.00 90.00°
Space group P4/mmm (No. 123)
Asymmetric unit:
Zr  0.0000  0.0000  0.0000
Sc  0.0000  0.5000  0.5000
Ta  0.5000  0.5000  0.0000
H  0.0000  0.0000  0.5000

Summary:
DOS(E_F) ... 5.11 states/eV/cell
Total magnetic moment ... 0.0 μB per cell
V ... 17.5 Å³/atom

Arrangement x

Material: ZrSc2TaH
Method: DFT, PBE
State: relaxed

Cell: 4.3725 4.3725 4.5726 Å, 90.00 90.00 90.00°
Space group P4/mmm (No. 123)
Asymmetric unit:
Zr  0.0000  0.0000  0.0000
Sc  0.0000  0.5000  0.5000
Ta  0.5000  0.5000  0.0000
H  0.5000  0.5000  0.5000

Summary:
DOS(E_F) ... 5.95 states/eV/cell
Total magnetic moment ... 0.0 μB per cell
V ... 17.5 Å³/atom

What should be chosen as the least stable of them? Choose arrangement x.

Arrangement w

Material: ScTcH3
Method: DFT, PBE
State: relaxed

Cell: 3.5408 3.5408 3.5408 Å, 90.00 90.00 90.00°
Space group Pm-3m (No. 221)
Asymmetric unit:
Sc  0.0000  0.0000  0.0000
Tc  0.5000  0.5000  0.5000
H  0.0000  0.0000  0.5000

Summary:
DOS(E_F) ... 1.59 states/eV/cell
Total magnetic moment ... 0.0 μB per cell
V ... 8.9 Å³/atom

Arrangement x

Material: ScTcH3
Method: DFT, PBE
State: relaxed

Cell: 3.5284 3.5284 3.5284 Å, 90.00 90.00 90.00°
Space group Pm-3m (No. 221)
Asymmetric unit:
Sc  0.0000  0.0000  0.0000
Tc  0.5000  0.5000  0.5000
H  0.0000  0.5000  0.5000

Summary:
DOS(E_F) ... 3.38 states/eV/cell
Total magnetic moment ... 0.0 μB per cell
V ... 8.8 Å³/atom

What should be chosen as the least stable of them? Choose arrangement w.

Arrangement w

Material: Sc3TcH
Method: DFT, PBE
State: relaxed

Cell: 5.0059 5.0059 5.0059 Å, 90.00 90.00 90.00°
Space group Pm-3m (No. 221)
Asymmetric unit:
Sc  0.0000  0.0000  0.5000
Tc  0.0000  0.0000  0.0000
H  0.5000  0.5000  0.5000

Summary:
DOS(E_F) ... 4.09 states/eV/cell
Total magnetic moment ... 0.0 μB per cell
V ... 25.1 Å³/atom

Arrangement x

Material: Sc3TcH
Method: DFT, PBE
State: relaxed

Cell: 4.3227 4.3227 4.3227 Å, 90.00 90.00 90.00°
Space group Pm-3m (No. 221)
Asymmetric unit:
Sc  0.0000  0.0000  0.5000
Tc  0.5000  0.5000  0.5000
H  0.0000  0.0000  0.0000

Summary:
DOS(E_F) ... 8.83 states/eV/cell
Total magnetic moment ... 0.0 μB per cell
V ... 16.2 Å³/atom

What should be chosen as the least stable of them? Choose arrangement w.

Arrangement w

Material: ScTcH2
Method: DFT, PBE
State: relaxed

Cell: 4.0896 4.0896 9.9814 Å, 90.00 90.00 90.00°
Space group I-42d (No. 122)
Asymmetric unit:
Sc  0.0000  0.0000  0.0000
Tc  0.0000  0.0000  0.5000
H  0.1937  0.2500  0.6250

Summary:
DOS(E_F) ... 3.32 states/eV/cell
Total magnetic moment ... 0.0 μB per cell
V ... 10.4 Å³/atom

Arrangement x

Material: ScTcH2
Method: DFT, PBE
State: relaxed

Cell: 5.4102 5.4102 5.4102 Å, 90.00 90.00 90.00°
Space group Fm-3m (No. 225)
Asymmetric unit:
Sc  0.0000  0.0000  0.0000
Tc  0.0000  0.0000  0.5000
H  0.2500  0.2500  0.2500

Summary:
DOS(E_F) ... 4.49 states/eV/cell
Total magnetic moment ... 0.0 μB per cell
V ... 9.9 Å³/atom

What should be chosen as the least stable of them? Choose arrangement x.

Arrangement w

Material: ScTc3H
Method: DFT, PBE
State: relaxed

Cell: 4.0293 4.0293 4.0293 Å, 90.00 90.00 90.00°
Space group Pm-3m (No. 221)
Asymmetric unit:
Sc  0.0000  0.0000  0.0000
Tc  0.0000  0.5000  0.5000
H  0.5000  0.5000  0.5000

Summary:
DOS(E_F) ... 5.71 states/eV/cell
Total magnetic moment ... 0.0 μB per cell
V ... 13.1 Å³/atom

Arrangement x

Material: ScTc3H
Method: DFT, PBE
State: relaxed

Cell: 4.6631 4.6631 4.6631 Å, 90.00 90.00 90.00°
Space group Pm-3m (No. 221)
Asymmetric unit:
Sc  0.0000  0.0000  0.0000
Tc  0.0000  0.0000  0.5000
H  0.5000  0.5000  0.5000

Summary:
DOS(E_F) ... 8.14 states/eV/cell
Total magnetic moment ... 3.9 μB per cell
V ... 20.3 Å³/atom

What should be chosen as the least stable of them? Choose arrangement x.